! LiNbHg2P (PBE, relaxed); values from VASP
! **Symmetry**: P4/mmm, No. 123
! **Energy of formation**: 0.752 eV per atom
&SYSTEM
  ibrav = 0, nat = 5, ntyp = 4
/
ATOMIC_SPECIES
Li 6.94 Li.upf
Nb 92.91 Nb.upf
P 30.97 P.upf
Hg 200.59 Hg.upf
ATOMIC_POSITIONS crystal
Li 0.000 0.500 0.000
Nb 0.500 0.500 0.500
P 0.000 0.000 0.000
Hg 0.500 0.000 0.000
Hg 0.000 0.000 0.500
CELL_PARAMETERS angstrom
-1.389 4.770 1.191
-2.881 -0.040 -3.197
-3.533 -1.829 3.206